This record from Alexandria describes a relaxed ReOsPt2 crystal. The functional is PBE-GGA.

a = 2.7355 Å, b = 2.7355 Å, c = 8.0302 Å
α = 90.00°, β = 90.00°, γ = 90.00°
Space group P4/mmm (No. 123)
Symmetry-distinct sites (fractional):
Re (0.0000, 0.0000, 0.0000) (multiplicity 1)
Os (0.0000, 0.0000, 0.5000) (multiplicity 1)
Pt (0.5000, 0.5000, 0.2482) (multiplicity 2)

Calculated values
Energy of formation: 0.14 eV per atom
Energy above the most stable polymorph in this dataset: 222 meV/atom